This record from Alexandria describes a relaxed SrZn3Pb3 crystal. The functional is PBE.

Geometry as POSCAR:
```
SrZn3Pb3
1.0
7.675 0.000 0.000
0.000 7.675 0.000
0.000 0.000 7.675
Zn Sr Pb
6 2 6
Direct
0.750 0.500 0.000 Zn
0.500 0.000 0.250 Zn
0.000 0.750 0.500 Zn
0.250 0.500 0.000 Zn
0.500 0.000 0.750 Zn
0.000 0.250 0.500 Zn
0.500 0.500 0.500 Sr
0.000 0.000 0.000 Sr
0.000 0.500 0.750 Pb
0.500 0.750 0.000 Pb
0.000 0.500 0.250 Pb
0.500 0.250 0.000 Pb
0.750 0.000 0.500 Pb
0.250 0.000 0.500 Pb
```

Properties
E_form	0.148	eV/atom
E	-2.227	eV/atom
spin magnetization	0.0	Bohr magnetons per cell

=====

This record from Alexandria describes a relaxed Li2Tl2Zn crystal. The functional is PBE.

Geometry as POSCAR:
```
Li2Tl2Zn
1.0
-6.029 2.849 4.070
-1.879 -7.233 2.279
2.049 0.348 2.793
Zn Tl Li
2 4 4
Direct
0.000 0.000 0.000 Zn
0.500 0.500 0.000 Zn
0.350 0.850 0.000 Tl
0.650 0.150 0.000 Tl
0.150 0.350 0.000 Tl
0.850 0.650 0.000 Tl
0.349 0.151 0.500 Li
0.151 0.651 0.500 Li
0.651 0.849 0.500 Li
0.849 0.349 0.500 Li
```

Properties
energy relative to the lowest polymorph listed for this composition	39.1	meV per atom
E_form	-0.064	eV/atom
E	-2.031	eV/atom
spin magnetization	0.0	Bohr magnetons per cell

=====

This record from Alexandria describes a relaxed Tb6YTm2Sc3 crystal. The functional is PBE.

Geometry as POSCAR:
```
Tb6YTm2Sc3
1.0
6.039 0.001 0.009
-3.017 5.232 0.009
-1.021 -1.768 11.240
Tb Sc Y Tm
6 3 1 2
Direct
0.086 0.420 0.258 Tb
0.248 0.248 0.742 Tb
0.580 0.914 0.742 Tb
0.420 0.086 0.258 Tb
0.914 0.580 0.742 Tb
0.752 0.752 0.258 Tb
0.500 0.500 0.500 Sc
0.833 0.167 0.500 Sc
0.167 0.833 0.500 Sc
0.000 0.000 0.000 Y
0.667 0.333 0.000 Tm
0.333 0.667 0.000 Tm
```

Properties
E_form	0.044	eV/atom
E	-5.138	eV/atom
spin magnetization	0.0	Bohr magnetons per cell

=====

This record from Alexandria describes a relaxed Li3Ac2HfS6 crystal. The functional is PBE.

Geometry as POSCAR:
```
Li3Ac2HfS6
1.0
7.221 -0.130 0.077
-3.721 6.189 0.077
-1.102 -1.907 6.136
S Li Hf Ac
6 3 1 2
Direct
0.636 0.921 0.744 S
0.921 0.636 0.744 S
0.364 0.079 0.256 S
0.079 0.364 0.256 S
0.233 0.233 0.759 S
0.767 0.767 0.241 S
0.500 0.500 0.500 Li
0.121 0.879 0.500 Li
0.879 0.121 0.500 Li
0.000 0.000 0.000 Hf
0.328 0.672 0.000 Ac
0.672 0.328 0.000 Ac
```

Properties
formation energy from raw total energies	-1905	kJ/mol of formula units
E	-5.701	eV/atom
spin magnetization	0.0	Bohr magnetons per cell

=====

This record from Alexandria describes a relaxed Ba2ReBO crystal. The functional is PBE.

Geometry as POSCAR:
```
Ba2ReBO
1.0
-2.248 0.690 5.140
-0.005 -3.989 0.533
5.187 0.291 2.229
O B Re Ba
1 1 1 2
Direct
0.500 0.500 0.500 O
0.000 0.500 0.000 B
0.000 0.000 0.000 Re
0.000 0.000 0.500 Ba
0.500 0.000 0.000 Ba
```

Properties
formation energy from raw total energies	141	kJ/mol of formula units
E	-5.294	eV/atom
spin magnetization	0.1	Bohr magnetons per cell

=====

This record from Alexandria describes a relaxed BaNd2In9 crystal. The functional is PBE.

Geometry as POSCAR:
```
BaNd2In9
1.0
4.812 0.000 0.000
0.000 4.812 0.000
0.000 0.000 14.507
In Nd Ba
9 2 1
Direct
0.500 0.000 0.178 In
0.500 0.500 0.664 In
0.000 0.500 0.178 In
0.000 0.500 0.822 In
0.000 0.500 0.500 In
0.500 0.500 0.000 In
0.500 0.000 0.822 In
0.500 0.500 0.336 In
0.500 0.000 0.500 In
0.000 0.000 0.343 Nd
0.000 0.000 0.657 Nd
0.000 0.000 0.000 Ba
```

Properties
E_form	-0.390	eV/atom
E	-3.398	eV/atom
spin magnetization	0.0	Bohr magnetons per cell

=====

This record from Alexandria describes a relaxed Dy3PdRu crystal. The functional is PBE.

Geometry as POSCAR:
```
Dy3PdRu
1.0
-7.149 -1.680 -3.249
1.026 -7.118 1.422
-6.046 0.354 6.137
Dy Ru Pd
12 4 4
Direct
0.714 0.494 0.463 Dy
0.786 0.994 0.537 Dy
0.974 0.189 0.144 Dy
0.102 0.654 0.228 Dy
0.214 0.006 0.463 Dy
0.398 0.154 0.772 Dy
0.526 0.689 0.856 Dy
0.286 0.506 0.537 Dy
0.026 0.811 0.856 Dy
0.474 0.311 0.144 Dy
0.898 0.346 0.772 Dy
0.602 0.846 0.228 Dy
0.457 0.816 0.586 Ru
0.043 0.316 0.414 Ru
0.957 0.684 0.586 Ru
0.543 0.184 0.414 Ru
0.194 0.464 0.910 Pd
0.306 0.964 0.090 Pd
0.806 0.536 0.090 Pd
0.694 0.036 0.910 Pd
```

Properties
energy relative to the lowest polymorph listed for this composition	0.0	meV per atom
E_form	-0.539	eV/atom
E	-6.194	eV/atom
spin magnetization	0.0	Bohr magnetons per cell

=====

This record from Alexandria describes a relaxed LiAcGa crystal. The functional is PBE.

Geometry as POSCAR:
```
LiAcGa
1.0
3.734 0.000 0.000
0.000 3.734 0.000
-1.867 -1.867 5.697
Li Ac Ga
1 1 1
Direct
0.321 0.321 0.641 Li
0.607 0.607 0.215 Ac
0.922 0.922 0.844 Ga
```

Properties
energy relative to the lowest polymorph listed for this composition	164.8	meV per atom
E_form	-0.158	eV/atom
E	-3.175	eV/atom
spin magnetization	0.0	Bohr magnetons per cell

=====

This record from Alexandria describes a relaxed Fe2IrW crystal. The functional is PBE.

Geometry as POSCAR:
```
Fe2IrW
1.0
2.865 0.000 0.000
0.000 2.865 0.000
0.000 0.000 6.576
W Fe Ir
1 2 1
Direct
0.500 0.500 0.767 W
0.000 0.000 0.022 Fe
0.500 0.500 0.227 Fe
0.000 0.000 0.483 Ir
```

Properties
E_form	-0.023	eV/atom
E	-9.708	eV/atom
spin magnetization	5.1	Bohr magnetons per cell

=====

This record from Alexandria describes a relaxed Mg2InSn crystal. The functional is PBE.

Geometry as POSCAR:
```
Mg2InSn
1.0
-0.882 2.346 -2.327
-2.497 -3.741 -2.824
-8.887 1.926 5.308
In Mg Sn
2 4 2
Direct
0.500 0.250 0.849 In
0.500 0.750 0.151 In
0.000 0.750 0.902 Mg
0.000 0.250 0.098 Mg
0.000 0.250 0.597 Mg
0.000 0.750 0.403 Mg
0.500 0.750 0.654 Sn
0.500 0.250 0.346 Sn
```

Properties
E_form	-0.098	eV/atom
E	-2.581	eV/atom
spin magnetization	0.0	Bohr magnetons per cell

=====

This record from Alexandria describes a relaxed CsInC3 crystal. The functional is PBE.

Geometry as POSCAR:
```
CsInC3
1.0
-0.694 4.576 -0.636
-4.401 -0.850 -1.316
-1.404 0.403 4.438
Cs In C
1 1 3
Direct
0.000 0.000 0.000 Cs
0.500 0.500 0.500 In
0.500 0.000 0.000 C
0.000 0.000 0.500 C
0.000 0.500 0.000 C
```

Properties
energy relative to the lowest polymorph listed for this composition	1100.6	meV per atom
E_form	3.914	eV/atom
E	-2.339	eV/atom
spin magnetization	1.2	Bohr magnetons per cell

=====

This record from Alexandria describes a relaxed SrSi2Sb crystal. The functional is PBE.

Geometry as POSCAR:
```
SrSi2Sb
1.0
-1.882 4.982 1.970
-4.951 1.484 -2.351
1.861 -4.739 2.514
Sb Si Sr
1 2 1
Direct
0.750 0.250 0.500 Sb
0.250 0.750 0.500 Si
0.000 0.000 0.000 Si
0.500 0.500 0.000 Sr
```

Properties
formation energy from raw total energies	49	kJ/mol of formula units
E	-4.036	eV/atom
spin magnetization	0.0	Bohr magnetons per cell